1.
The following is a DFT calculation (PBE) of a geometry-optimized Th5Mn2Bi structure. Values from VASP.

Geometry as Quantum ESPRESSO input:
```
&SYSTEM
  ibrav = 0, nat = 16, ntyp = 3
/
ATOMIC_SPECIES
Th 232.04 Th.upf
Mn 54.94 Mn.upf
Bi 208.98 Bi.upf
ATOMIC_POSITIONS crystal
Th 0.000 0.000 0.000
Th 0.027 0.527 0.811
Th 0.216 0.027 0.500
Th 0.284 0.784 0.811
Th 0.473 0.284 0.500
Th 0.500 0.500 0.000
Th 0.527 0.716 0.500
Th 0.716 0.216 0.189
Th 0.784 0.973 0.500
Th 0.973 0.473 0.189
Mn 0.139 0.361 0.500
Mn 0.361 0.861 0.222
Mn 0.639 0.139 0.778
Mn 0.861 0.639 0.500
Bi 0.250 0.250 0.000
Bi 0.750 0.750 0.000
CELL_PARAMETERS angstrom
-3.953 3.953 6.889
3.953 -3.953 6.889
3.953 3.953 -6.889
```

Results
Fermi-level density of states = 18.1 states/eV per cell
Energy of formation = -0.098 eV per atom
Magnetization = 0.0000 μB/atom
VASP energy = -7.51 eV per atom
Crystal system = tetragonal

***

2.
The following is a DFT calculation (PBE) of a geometry-optimized LaTc3Ni structure. Values from VASP.

Geometry as Quantum ESPRESSO input:
```
&SYSTEM
  ibrav = 0, nat = 5, ntyp = 3
/
ATOMIC_SPECIES
La 138.91 La.upf
Tc 98.00 Tc.upf
Ni 58.69 Ni.upf
ATOMIC_POSITIONS crystal
La 0.000 0.000 0.000
Tc 0.000 0.000 0.500
Tc 0.000 0.500 0.000
Tc 0.500 0.000 0.000
Ni 0.500 0.500 0.500
CELL_PARAMETERS angstrom
4.702 0.000 0.000
0.000 4.702 0.000
0.000 0.000 4.702
```

Results
Fermi-level density of states = 10.4 states/eV per cell
Energy of formation = 2.383 eV per atom
Magnetization = 0.0005 μB/atom
VASP energy = -5.98 eV per atom
Crystal system = cubic

***

3.
The following is a DFT calculation (PBE) of a geometry-optimized Bi3O4 structure. Values from VASP.

Geometry as Quantum ESPRESSO input:
```
&SYSTEM
  ibrav = 0, nat = 7, ntyp = 2
/
ATOMIC_SPECIES
Bi 208.98 Bi.upf
O 16.00 O.upf
ATOMIC_POSITIONS crystal
Bi 0.000 0.000 0.000
Bi 0.311 0.311 0.318
Bi 0.689 0.689 0.682
O 0.138 0.138 0.420
O 0.352 0.352 0.961
O 0.648 0.648 0.039
O 0.862 0.862 0.580
CELL_PARAMETERS angstrom
5.961 -1.802 0.000
5.961 1.802 0.000
-3.045 0.000 5.669
```

Results
Fermi-level density of states = 1.7 states/eV per cell
Magnetization = 0.0000 μB/atom
VASP energy = -5.46 eV per atom
Crystal system = monoclinic

***

4.
The following is a DFT calculation (PBE) of a geometry-optimized La6TeO12 structure. Values from VASP.

Geometry as Quantum ESPRESSO input:
```
&SYSTEM
  ibrav = 0, nat = 19, ntyp = 3
/
ATOMIC_SPECIES
La 138.91 La.upf
Te 127.60 Te.upf
O 16.00 O.upf
ATOMIC_POSITIONS crystal
La 0.105 0.644 0.806
La 0.194 0.895 0.356
La 0.356 0.194 0.895
La 0.644 0.806 0.105
La 0.806 0.105 0.644
La 0.895 0.356 0.194
Te 0.500 0.500 0.500
O 0.060 0.323 0.904
O 0.096 0.940 0.677
O 0.215 0.529 0.433
O 0.323 0.904 0.060
O 0.433 0.215 0.529
O 0.471 0.567 0.785
O 0.529 0.433 0.215
O 0.567 0.785 0.471
O 0.677 0.096 0.940
O 0.785 0.471 0.567
O 0.904 0.060 0.323
O 0.940 0.677 0.096
CELL_PARAMETERS angstrom
5.197 3.000 3.322
-5.197 3.000 3.322
0.000 -6.001 3.322
```

Results
Fermi-level density of states = 0.0 states/eV per cell
Magnetization = 0.0000 μB/atom
VASP energy = -7.91 eV per atom
Crystal system = trigonal

***

5.
The following is a DFT calculation (PBE) of a geometry-optimized MoP2 structure. Values from VASP.

Geometry as Quantum ESPRESSO input:
```
&SYSTEM
  ibrav = 0, nat = 6, ntyp = 2
/
ATOMIC_SPECIES
Mo 95.94 Mo.upf
P 30.97 P.upf
ATOMIC_POSITIONS crystal
Mo 0.093 0.907 0.500
Mo 0.907 0.093 0.000
P 0.298 0.702 0.698
P 0.430 0.570 0.382
P 0.570 0.430 0.882
P 0.702 0.298 0.198
CELL_PARAMETERS angstrom
1.583 -5.616 0.000
1.583 5.616 0.000
0.000 0.000 5.002
```

Results
Fermi-level density of states = 0.9 states/eV per cell
Energy of formation = -0.522 eV per atom
Magnetization = 0.0000 μB/atom
VASP energy = -7.74 eV per atom
Crystal system = orthorhombic

***

6.
The following is a DFT calculation (PBE) of a geometry-optimized KLi2CeF8 structure. Values from VASP.

Geometry as Quantum ESPRESSO input:
```
&SYSTEM
  ibrav = 0, nat = 12, ntyp = 4
/
ATOMIC_SPECIES
K 39.10 K.upf
Li 6.94 Li.upf
Ce 140.12 Ce.upf
F 19.00 F.upf
ATOMIC_POSITIONS crystal
K 0.000 0.000 0.000
Li 0.333 0.667 0.755
Li 0.667 0.333 0.245
Ce 0.000 0.000 0.500
F 0.028 0.325 0.673
F 0.297 0.972 0.673
F 0.325 0.297 0.327
F 0.333 0.667 0.988
F 0.667 0.333 0.012
F 0.675 0.703 0.673
F 0.703 0.028 0.327
F 0.972 0.675 0.327
CELL_PARAMETERS angstrom
5.336 0.000 0.000
-2.668 4.621 0.000
0.000 0.000 8.055
```

Results
Fermi-level density of states = 11.9 states/eV per cell
Magnetization = 0.0947 μB/atom
VASP energy = -5.09 eV per atom
Crystal system = trigonal

***

Question: Which formula does entry 2 have?
Answer: LaTc3Ni